--- a ---
Compound: CsAs2BrF
Source: the Alexandria database
Functional: PBE
Structure: optimized geometry

The structure belongs to space group P4/mmm (No. 123); the cell edges are 5.9821, 5.9821 and 6.1535 Å and the angles 90.00°, 90.00° and 90.00°. The inequivalent atoms are Cs at (0.0000, 0.0000, 0.0000), As at (0.0000, 0.5000, 0.0000), Br at (0.0000, 0.0000, 0.5000) and F at (0.5000, 0.5000, 0.5000).

For the density of states at the Fermi level, the calculation gives 2.703 states/eV/atom.

***

--- b ---
Compound: CsAs2BrF
Source: the Alexandria database
Functional: PBE
Structure: optimized geometry

The structure belongs to space group P4/mmm (No. 123); the cell edges are 4.6903, 4.6903 and 7.2014 Å and the angles 90.00°, 90.00° and 90.00°. The inequivalent atoms are Cs at (0.0000, 0.0000, 0.0000), As at (0.0000, 0.5000, 0.5000), Br at (0.5000, 0.5000, 0.0000) and F at (0.5000, 0.5000, 0.5000).

For the density of states at the Fermi level, the calculation gives 0.428 states/eV/atom.

***

Which of them is least stable? Easy: a.